#1
Here is RbRe3Sn at its PBEsol-relaxed geometry from Alexandria. Energies are from SCAN.

a b c (Å): 5.003 5.003 5.003
angles (deg): 90.00 90.00 90.00
Sites, in units of the cell vectors:
Re: 0.000 0.500 0.000
Re: 0.000 0.000 0.500
Re: 0.500 0.000 0.000
Sn: 0.000 0.000 0.000
Rb: 0.500 0.500 0.500

Computed properties:
size of the total moment: 4.160 μB/f.u.
symmetry: Pm-3m (221)

***

#2
Here is RbRe3Sn at its PBEsol-relaxed geometry from Alexandria. Energies are from SCAN.

a b c (Å): 4.693 4.693 4.693
angles (deg): 90.00 90.00 90.00
Sites, in units of the cell vectors:
Sn: 0.500 0.500 0.500
Re: 0.500 0.000 0.000
Re: 0.000 0.500 0.000
Re: 0.000 0.000 0.500
Rb: 0.000 0.000 0.000

Computed properties:
size of the total moment: 2.899 μB/f.u.
symmetry: Pm-3m (221)

***

Which structure loses on stability? #2 does.

***

#1
Here is RbSr3Rh at its PBEsol-relaxed geometry from Alexandria. Energies are from SCAN.

a b c (Å): 5.983 5.983 5.983
angles (deg): 90.00 90.00 90.00
Sites, in units of the cell vectors:
Sr: 0.000 0.000 0.500
Sr: 0.000 0.500 0.000
Sr: 0.500 0.000 0.000
Rh: 0.000 0.000 0.000
Rb: 0.500 0.500 0.500

Computed properties:
size of the total moment: 0.211 μB/f.u.
symmetry: Pm-3m (221)

***

#2
Here is RbSr3Rh at its PBEsol-relaxed geometry from Alexandria. Energies are from SCAN.

a b c (Å): 4.402 5.888 9.026
angles (deg): 90.00 90.00 90.00
Sites, in units of the cell vectors:
Rb: 0.000 0.500 0.500
Rh: 0.000 0.000 0.000
Sr: 0.000 0.500 0.000
Sr: 0.500 0.000 0.789
Sr: 0.500 0.000 0.211

Computed properties:
size of the total moment: 0.131 μB/f.u.
symmetry: Pmmm (47)

***

Which structure loses on stability? #1 does.

***

#1
Here is RbTaRh3 at its PBEsol-relaxed geometry from Alexandria. Energies are from SCAN.

a b c (Å): 4.604 4.604 4.604
angles (deg): 90.00 90.00 90.00
Sites, in units of the cell vectors:
Rh: 0.500 0.000 0.000
Rh: 0.000 0.500 0.000
Rh: 0.000 0.000 0.500
Ta: 0.500 0.500 0.500
Rb: 0.000 0.000 0.000

Computed properties:
size of the total moment: 0.908 μB/f.u.
symmetry: Pm-3m (221)

***

#2
Here is RbTaRh3 at its PBEsol-relaxed geometry from Alexandria. Energies are from SCAN.

a b c (Å): 4.796 4.796 4.796
angles (deg): 90.00 90.00 90.00
Sites, in units of the cell vectors:
Rh: 0.000 0.000 0.500
Rh: 0.500 0.000 0.000
Rh: 0.000 0.500 0.000
Rb: 0.500 0.500 0.500
Ta: 0.000 0.000 0.000

Computed properties:
size of the total moment: 0.000 μB/f.u.
symmetry: Pm-3m (221)

***

Which structure loses on stability? #1 does.

***

#1
Here is RbTe2S2 at its PBEsol-relaxed geometry from Alexandria. Energies are from SCAN.

a b c (Å): 4.210 8.846 8.846
angles (deg): 90.00 90.00 90.00
Sites, in units of the cell vectors:
Te: 0.500 0.211 0.711
Te: 0.500 0.711 0.789
Te: 0.500 0.289 0.211
Te: 0.500 0.789 0.289
S: 0.000 0.319 0.819
S: 0.000 0.681 0.181
S: 0.000 0.819 0.681
S: 0.000 0.181 0.319
Rb: 0.000 0.500 0.500
Rb: 0.000 0.000 0.000

Computed properties:
size of the total moment: 0.000 μB/f.u.
symmetry: P4/mbm (127)

***

#2
Here is RbTe2S2 at its PBEsol-relaxed geometry from Alexandria. Energies are from SCAN.

a b c (Å): 5.375 5.375 6.934
angles (deg): 112.81 112.81 90.00
Sites, in units of the cell vectors:
Te: 0.701 0.701 0.402
Te: 0.299 0.299 0.598
S: 0.750 0.250 0.500
S: 0.250 0.750 0.500
Rb: 0.000 0.000 0.000

Computed properties:
size of the total moment: 0.000 μB/f.u.
symmetry: I4/mmm (139)

***

Which structure loses on stability? #1 does.

***

#1
Here is RbTl2S2 at its PBEsol-relaxed geometry from Alexandria. Energies are from SCAN.

a b c (Å): 5.280 5.280 6.250
angles (deg): 114.99 114.99 90.00
Sites, in units of the cell vectors:
S: 0.250 0.750 0.500
S: 0.750 0.250 0.500
Rb: 0.000 0.000 0.000
Tl: 0.651 0.651 0.301
Tl: 0.349 0.349 0.699

Computed properties:
size of the total moment: 0.000 μB/f.u.
symmetry: I4/mmm (139)

***

#2
Here is RbTl2S2 at its PBEsol-relaxed geometry from Alexandria. Energies are from SCAN.

a b c (Å): 4.522 4.522 7.472
angles (deg): 107.61 107.61 90.00
Sites, in units of the cell vectors:
Tl: 0.750 0.250 0.500
Tl: 0.250 0.750 0.500
Rb: 0.000 0.000 0.000
S: 0.422 0.422 0.843
S: 0.578 0.578 0.157

Computed properties:
size of the total moment: 0.000 μB/f.u.
symmetry: I4/mmm (139)

***

Which structure loses on stability? #2 does.

***

#1
Here is RbZrS3 at its PBEsol-relaxed geometry from Alexandria. Energies are from SCAN.

a b c (Å): 5.089 5.089 5.089
angles (deg): 90.00 90.00 90.00
Sites, in units of the cell vectors:
S: 0.500 0.000 0.000
S: 0.000 0.000 0.500
S: 0.000 0.500 0.000
Zr: 0.500 0.500 0.500
Rb: 0.000 0.000 0.000

Computed properties:
size of the total moment: 0.554 μB/f.u.
symmetry: Pm-3m (221)

***

#2
Here is RbZrS3 at its PBEsol-relaxed geometry from Alexandria. Energies are from SCAN.

a b c (Å): 5.009 5.009 5.009
angles (deg): 90.00 90.00 90.00
Sites, in units of the cell vectors:
Rb: 0.500 0.500 0.500
S: 0.500 0.000 0.000
S: 0.000 0.000 0.500
S: 0.000 0.500 0.000
Zr: 0.000 0.000 0.000

Computed properties:
size of the total moment: 0.000 μB/f.u.
symmetry: Pm-3m (221)

***

Which structure loses on stability? #1 does.

***

#1
Here is RbSi3Se at its PBEsol-relaxed geometry from Alexandria. Energies are from SCAN.

a b c (Å): 5.372 5.372 5.372
angles (deg): 90.00 90.00 90.00
Sites, in units of the cell vectors:
Si: 0.000 0.500 0.000
Si: 0.500 0.000 0.000
Si: 0.000 0.000 0.500
Se: 0.500 0.500 0.500
Rb: 0.000 0.000 0.000

Computed properties:
size of the total moment: 0.012 μB/f.u.
symmetry: Pm-3m (221)

***

#2
Here is RbSi3Se at its PBEsol-relaxed geometry from Alexandria. Energies are from SCAN.

a b c (Å): 5.122 5.122 5.122
angles (deg): 90.00 90.00 90.00
Sites, in units of the cell vectors:
Si: 0.000 0.000 0.500
Si: 0.000 0.500 0.000
Si: 0.500 0.000 0.000
Se: 0.000 0.000 0.000
Rb: 0.500 0.500 0.500

Computed properties:
size of the total moment: 0.000 μB/f.u.
symmetry: Pm-3m (221)

***

Which structure loses on stability? #1 does.

***

#1
Here is RbTl2Sn2 at its PBEsol-relaxed geometry from Alexandria. Energies are from SCAN.

a b c (Å): 3.520 9.338 9.338
angles (deg): 90.00 90.00 90.00
Sites, in units of the cell vectors:
Sn: 0.500 0.855 0.355
Sn: 0.500 0.145 0.645
Sn: 0.500 0.355 0.145
Sn: 0.500 0.645 0.855
Tl: 0.000 0.644 0.144
Tl: 0.000 0.144 0.356
Tl: 0.000 0.856 0.644
Tl: 0.000 0.356 0.856
Rb: 0.000 0.000 0.000
Rb: 0.000 0.500 0.500

Computed properties:
size of the total moment: 0.000 μB/f.u.
symmetry: P4/mbm (127)

***

#2
Here is RbTl2Sn2 at its PBEsol-relaxed geometry from Alexandria. Energies are from SCAN.

a b c (Å): 4.486 4.486 8.795
angles (deg): 104.78 104.78 90.00
Sites, in units of the cell vectors:
Rb: 0.000 0.000 0.000
Tl: 0.614 0.614 0.228
Tl: 0.386 0.386 0.772
Sn: 0.750 0.250 0.500
Sn: 0.250 0.750 0.500

Computed properties:
size of the total moment: 0.000 μB/f.u.
symmetry: I4/mmm (139)

***

Which structure loses on stability? #1 does.

***

#1
Here is Re at its PBEsol-relaxed geometry from Alexandria. Energies are from SCAN.

a b c (Å): 2.751 2.751 6.852
angles (deg): 78.42 78.42 60.00
Sites, in units of the cell vectors:
Re: 0.778 0.778 0.666
Re: 0.222 0.222 0.334
Re: 0.000 0.000 0.000

Computed properties:
size of the total moment: 0.000 μB/f.u.
symmetry: R-3m (166)

***

#2
Here is Re at its PBEsol-relaxed geometry from Alexandria. Energies are from SCAN.

a b c (Å): 2.744 2.744 2.744
angles (deg): 60.00 60.00 60.00
Sites, in units of the cell vectors:
Re: 0.000 0.000 0.000

Computed properties:
size of the total moment: 0.000 μB/f.u.
symmetry: Fm-3m (225)

***

Which structure loses on stability? #2 does.

***

#1
Here is Re at its PBEsol-relaxed geometry from Alexandria. Energies are from SCAN.

a b c (Å): 2.674 2.674 2.674
angles (deg): 109.47 109.47 109.47
Sites, in units of the cell vectors:
Re: 0.000 0.000 0.000

Computed properties:
size of the total moment: 0.000 μB/f.u.
symmetry: Im-3m (229)

***

#2
Here is Re at its PBEsol-relaxed geometry from Alexandria. Energies are from SCAN.

a b c (Å): 2.751 2.751 4.445
angles (deg): 90.00 90.00 120.00
Sites, in units of the cell vectors:
Re: 0.333 0.667 0.250
Re: 0.667 0.333 0.750

Computed properties:
size of the total moment: 0.000 μB/f.u.
symmetry: P6_3/mmc (194)

***

Which structure loses on stability? #1 does.

***

#1
Here is Re5Rh3 at its PBEsol-relaxed geometry from Alexandria. Energies are from SCAN.

a b c (Å): 2.698 4.785 9.138
angles (deg): 105.18 98.49 90.00
Sites, in units of the cell vectors:
Re: 0.000 0.414 0.000
Re: 0.123 0.213 0.247
Re: 0.751 0.165 0.503
Re: 0.877 0.966 0.753
Re: 0.249 0.662 0.497
Rh: 0.374 0.460 0.748
Rh: 0.626 0.713 0.252
Rh: 0.500 0.912 0.000

Computed properties:
size of the total moment: 0.000 μB/f.u.
symmetry: Imm2 (44)

***

#2
Here is Re5Rh3 at its PBEsol-relaxed geometry from Alexandria. Energies are from SCAN.

a b c (Å): 4.749 5.132 5.132
angles (deg): 115.86 90.00 90.00
Sites, in units of the cell vectors:
Re: 0.288 0.000 0.500
Re: 0.959 0.248 0.248
Re: 0.455 0.000 0.000
Re: 0.288 0.500 0.000
Re: 0.959 0.752 0.752
Rh: 0.460 0.500 0.500
Rh: 0.796 0.748 0.252
Rh: 0.796 0.252 0.748

Computed properties:
size of the total moment: 0.000 μB/f.u.
symmetry: Cmm2 (35)

***

Which structure loses on stability? #1 does.

***

#1
Here is ReRh3 at its PBEsol-relaxed geometry from Alexandria. Energies are from SCAN.

a b c (Å): 2.673 3.819 5.361
angles (deg): 90.00 90.00 90.00
Sites, in units of the cell vectors:
Rh: 0.000 0.000 0.500
Rh: 0.500 0.500 0.753
Rh: 0.500 0.500 0.247
Re: 0.000 0.000 0.000

Computed properties:
size of the total moment: 0.000 μB/f.u.
symmetry: Pmmm (47)

***

#2
Here is ReRh3 at its PBEsol-relaxed geometry from Alexandria. Energies are from SCAN.

a b c (Å): 2.679 2.679 7.652
angles (deg): 90.00 90.00 90.00
Sites, in units of the cell vectors:
Re: 0.000 0.000 0.000
Rh: 0.000 0.000 0.500
Rh: 0.500 0.500 0.247
Rh: 0.500 0.500 0.753

Computed properties:
size of the total moment: 0.000 μB/f.u.
symmetry: P4/mmm (123)

***

#3
Here is ReRh3 at its PBEsol-relaxed geometry from Alexandria. Energies are from SCAN.

a b c (Å): 2.686 2.686 8.938
angles (deg): 81.36 81.36 60.00
Sites, in units of the cell vectors:
Rh: 0.749 0.749 0.753
Rh: 0.500 0.500 0.500
Rh: 0.251 0.251 0.247
Re: 0.000 0.000 0.000

Computed properties:
size of the total moment: 0.000 μB/f.u.
symmetry: R-3m (166)

***

Which structure loses on stability? #3 does.